Entry 1:
A geometry-optimized LaLuPbAu structure, computed with PBE.

Unit cell a=7.5845 b=7.5845 c=7.5845 alpha=90.00 beta=90.00 gamma=90.00
Positions (direct):
La  0.0000  0.0000  0.0000
La  0.0000  0.5000  0.5000
La  0.5000  0.0000  0.5000
La  0.5000  0.5000  0.0000
Lu  0.0000  0.0000  0.5000
Lu  0.0000  0.5000  0.0000
Lu  0.5000  0.0000  0.0000
Lu  0.5000  0.5000  0.5000
Pb  0.2500  0.2500  0.7500
Pb  0.2500  0.7500  0.2500
Pb  0.7500  0.2500  0.2500
Pb  0.7500  0.7500  0.7500
Au  0.2500  0.2500  0.2500
Au  0.2500  0.7500  0.7500
Au  0.7500  0.2500  0.7500
Au  0.7500  0.7500  0.2500

Computed properties:
- Fermi-level density of states (states/eV/cell) = 16.31
- V (Å³/atom) = 27.27
- total moment (μB/atom) = 0.131
- DFT formation energy (eV per atom) = -0.587
- symmetry = F-43m (216)

=====

Entry 2:
A geometry-optimized LaLuZnAu structure, computed with PBE.

Unit cell a=7.3118 b=7.3118 c=7.3118 alpha=90.00 beta=90.00 gamma=90.00
Positions (direct):
La  0.0000  0.0000  0.0000
La  0.0000  0.5000  0.5000
La  0.5000  0.0000  0.5000
La  0.5000  0.5000  0.0000
Lu  0.0000  0.0000  0.5000
Lu  0.0000  0.5000  0.0000
Lu  0.5000  0.0000  0.0000
Lu  0.5000  0.5000  0.5000
Zn  0.2500  0.2500  0.7500
Zn  0.2500  0.7500  0.2500
Zn  0.7500  0.2500  0.2500
Zn  0.7500  0.7500  0.7500
Au  0.2500  0.2500  0.2500
Au  0.2500  0.7500  0.7500
Au  0.7500  0.2500  0.7500
Au  0.7500  0.7500  0.2500

Computed properties:
- Fermi-level density of states (states/eV/cell) = 11.10
- V (Å³/atom) = 24.43
- total moment (μB/atom) = 0.000
- DFT formation energy (eV per atom) = -0.547
- symmetry = F-43m (216)

=====

Entry 3:
A geometry-optimized LaMg9Au2 structure, computed with PBE.

Unit cell a=9.2352 b=9.2352 c=9.2352 alpha=99.71 beta=99.71 gamma=131.52
Positions (direct):
La  0.3750  0.6250  0.7500
La  0.6250  0.3750  0.2500
Mg  0.1250  0.8750  0.2500
Mg  0.1351  0.5637  0.3271
Mg  0.1351  0.8080  0.5714
Mg  0.1920  0.2635  0.3271
Mg  0.1920  0.8649  0.9286
Mg  0.2635  0.1920  0.8271
Mg  0.2635  0.4363  0.0714
Mg  0.4363  0.2635  0.5714
Mg  0.4363  0.8649  0.1729
Mg  0.5637  0.1351  0.8271
Mg  0.5637  0.7365  0.4286
Mg  0.7365  0.5637  0.9286
Mg  0.7365  0.8080  0.1729
Mg  0.8080  0.1351  0.0714
Mg  0.8080  0.7365  0.6729
Mg  0.8649  0.1920  0.4286
Mg  0.8649  0.4363  0.6729
Mg  0.8750  0.1250  0.7500
Au  0.0000  0.0000  0.0000
Au  0.0000  0.0000  0.5000
Au  0.0000  0.5000  0.0000
Au  0.5000  0.0000  0.5000

Computed properties:
- Fermi-level density of states (states/eV/cell) = 10.62
- V (Å³/atom) = 22.41
- total moment (μB/atom) = 0.000
- DFT formation energy (eV per atom) = -0.312
- symmetry = I4_1/amd (141)

=====

Entry 4:
A geometry-optimized LaMg3Au3 structure, computed with PBE.

Unit cell a=7.2352 b=7.2352 c=7.2352 alpha=90.00 beta=90.00 gamma=90.00
Positions (direct):
La  0.0000  0.0000  0.0000
La  0.5000  0.5000  0.5000
Mg  0.0000  0.2500  0.5000
Mg  0.0000  0.7500  0.5000
Mg  0.2500  0.5000  0.0000
Mg  0.5000  0.0000  0.2500
Mg  0.5000  0.0000  0.7500
Mg  0.7500  0.5000  0.0000
Au  0.0000  0.5000  0.2500
Au  0.0000  0.5000  0.7500
Au  0.2500  0.0000  0.5000
Au  0.5000  0.2500  0.0000
Au  0.5000  0.7500  0.0000
Au  0.7500  0.0000  0.5000

Computed properties:
- Fermi-level density of states (states/eV/cell) = 13.45
- V (Å³/atom) = 27.05
- total moment (μB/atom) = 0.034
- DFT formation energy (eV per atom) = -0.203
- symmetry = Pm-3n (223)
- excess energy over the best structure of this formula in the dataset (meV/atom) = 392

=====

Entry 5:
A geometry-optimized La2MgAu4 structure, computed with PBE.

Unit cell a=8.6314 b=8.6314 c=8.6314 alpha=34.53 beta=34.53 gamma=34.53
Positions (direct):
La  0.2444  0.2444  0.2444
La  0.7556  0.7556  0.7556
Mg  0.0000  0.0000  0.0000
Au  0.1152  0.1152  0.1152
Au  0.3716  0.3716  0.3716
Au  0.6284  0.6284  0.6284
Au  0.8848  0.8848  0.8848

Computed properties:
- Fermi-level density of states (states/eV/cell) = 6.52
- V (Å³/atom) = 26.34
- total moment (μB/atom) = 0.000
- DFT formation energy (eV per atom) = -0.648
- symmetry = R-3m (166)

=====

Entry 6:
A geometry-optimized LaMg10Au2 structure, computed with PBE.

Unit cell a=10.1180 b=7.7079 c=7.7065 alpha=82.05 beta=48.98 gamma=48.97
Positions (direct):
La  0.0000  0.0000  0.0000
Mg  0.0000  0.0000  0.5000
Mg  0.0153  0.3469  0.6531
Mg  0.2855  0.4902  0.5098
Mg  0.3469  0.0153  0.9847
Mg  0.4902  0.2855  0.7145
Mg  0.5000  0.5000  0.0000
Mg  0.5098  0.7145  0.2855
Mg  0.6531  0.9847  0.0153
Mg  0.7145  0.5098  0.4902
Mg  0.9847  0.6531  0.3469
Au  0.0000  0.5000  0.0000
Au  0.5000  0.0000  0.5000

Computed properties:
- Fermi-level density of states (states/eV/cell) = 6.30
- V (Å³/atom) = 22.57
- total moment (μB/atom) = 0.000
- DFT formation energy (eV per atom) = -0.251
- symmetry = Fmmm (69)

=====

Entry 7:
A geometry-optimized LaMg3Au3 structure, computed with PBE.

Unit cell a=8.9446 b=8.9446 c=4.5944 alpha=90.00 beta=90.00 gamma=120.00
Positions (direct):
La  0.3333  0.6667  0.2500
La  0.6667  0.3333  0.7500
Mg  0.0260  0.7655  0.7500
Mg  0.2345  0.2605  0.7500
Mg  0.2605  0.0260  0.2500
Mg  0.7395  0.9740  0.7500
Mg  0.7655  0.7395  0.2500
Mg  0.9740  0.2345  0.2500
Au  0.0577  0.4352  0.7500
Au  0.3775  0.9423  0.7500
Au  0.4352  0.3775  0.2500
Au  0.5648  0.6225  0.7500
Au  0.6225  0.0577  0.2500
Au  0.9423  0.5648  0.2500

Computed properties:
- Fermi-level density of states (states/eV/cell) = 4.54
- V (Å³/atom) = 22.74
- total moment (μB/atom) = 0.000
- DFT formation energy (eV per atom) = -0.595
- symmetry = P6_3/m (176)
- excess energy over the best structure of this formula in the dataset (meV/atom) = 0

=====

Entry 8:
A geometry-optimized LaMg3Au structure, computed with PBE.

Unit cell a=6.2530 b=6.2530 c=6.2530 alpha=90.00 beta=90.00 gamma=90.00
Positions (direct):
La  0.0000  0.0000  0.0000
Mg  0.0000  0.0000  0.5000
Mg  0.0000  0.5000  0.0000
Mg  0.5000  0.0000  0.0000
Au  0.5000  0.5000  0.5000

Computed properties:
- Fermi-level density of states (states/eV/cell) = 7.11
- V (Å³/atom) = 48.90
- total moment (μB/atom) = 0.066
- DFT formation energy (eV per atom) = 1.244
- symmetry = Pm-3m (221)
- excess energy over the best structure of this formula in the dataset (meV/atom) = 1619

=====

Entry 9:
A geometry-optimized La3Mg7Au4 structure, computed with PBE.

Unit cell a=8.7688 b=8.7688 c=10.5116 alpha=122.59 beta=122.59 gamma=29.97
Positions (direct):
La  0.0000  0.0000  0.0000
La  0.3056  0.3056  0.2950
La  0.6944  0.6944  0.7050
Mg  0.0000  0.0000  0.5000
Mg  0.1637  0.1637  0.4295
Mg  0.3209  0.3209  0.9835
Mg  0.4899  0.4899  0.7006
Mg  0.5101  0.5101  0.2994
Mg  0.6791  0.6791  0.0165
Mg  0.8363  0.8363  0.5705
Au  0.1155  0.1155  0.8300
Au  0.3395  0.3395  0.7340
Au  0.6605  0.6605  0.2660
Au  0.8845  0.8845  0.1700

Computed properties:
- Fermi-level density of states (states/eV/cell) = 10.92
- V (Å³/atom) = 23.94
- total moment (μB/atom) = 0.000
- DFT formation energy (eV per atom) = -0.537
- symmetry = C2/m (12)

=====

Entry 10:
A geometry-optimized La2Mg3Au2 structure, computed with PBE.

Unit cell a=10.5974 b=4.6295 c=7.7634 alpha=90.00 beta=112.28 gamma=90.00
Positions (direct):
La  0.1389  0.0000  0.2844
La  0.3611  0.5000  0.7156
La  0.6389  0.5000  0.2844
La  0.8611  0.0000  0.7156
Mg  0.0000  0.5000  0.5000
Mg  0.1298  0.5000  0.9353
Mg  0.3702  0.0000  0.0647
Mg  0.5000  0.0000  0.5000
Mg  0.6298  0.0000  0.9353
Mg  0.8702  0.5000  0.0647
Au  0.1544  0.0000  0.7154
Au  0.3456  0.5000  0.2846
Au  0.6544  0.5000  0.7154
Au  0.8456  0.0000  0.2846

Computed properties:
- Fermi-level density of states (states/eV/cell) = 9.27
- V (Å³/atom) = 25.18
- total moment (μB/atom) = 0.000
- DFT formation energy (eV per atom) = -0.566
- symmetry = C2/m (12)

=====

Entry 11:
A geometry-optimized LaMg6Au4 structure, computed with PBE.

Unit cell a=8.0064 b=8.0064 c=4.2231 alpha=90.00 beta=90.00 gamma=120.00
Positions (direct):
La  0.0000  0.0000  0.0000
Mg  0.0711  0.5355  0.0000
Mg  0.4053  0.2027  0.5000
Mg  0.4645  0.5355  0.0000
Mg  0.4645  0.9289  0.0000
Mg  0.7973  0.2027  0.5000
Mg  0.7973  0.5947  0.5000
Au  0.1892  0.3784  0.5000
Au  0.1892  0.8108  0.5000
Au  0.6216  0.8108  0.5000
Au  0.6667  0.3333  0.0000

Computed properties:
- Fermi-level density of states (states/eV/cell) = 5.49
- V (Å³/atom) = 21.31
- total moment (μB/atom) = 0.000
- DFT formation energy (eV per atom) = -0.587
- symmetry = P-6m2 (187)

=====

Entry 12:
A geometry-optimized La3Mg2Au4 structure, computed with PBE.

Unit cell a=6.3504 b=6.3504 c=9.1886 alpha=115.34 beta=115.34 gamma=43.34
Positions (direct):
La  0.0000  0.0000  0.0000
La  0.3658  0.3658  0.3025
La  0.6342  0.6342  0.6975
Mg  0.3289  0.3289  0.6560
Mg  0.6711  0.6711  0.3440
Au  0.0747  0.0747  0.4009
Au  0.2868  0.2868  0.9295
Au  0.7132  0.7132  0.0705
Au  0.9253  0.9253  0.5991

Computed properties:
- Fermi-level density of states (states/eV/cell) = 5.42
- V (Å³/atom) = 25.08
- total moment (μB/atom) = 0.000
- DFT formation energy (eV per atom) = -0.719
- symmetry = C2/m (12)